! BaCrAuF2 (PBE+U, optimized geometry); values from VASP
&SYSTEM
  ibrav = 0, nat = 5, ntyp = 4
/
ATOMIC_SPECIES
Au 196.97 Au.upf
Cr 52.00 Cr.upf
F 19.00 F.upf
Ba 137.33 Ba.upf
CELL_PARAMETERS angstrom
-3.351 2.461 -1.638
-2.628 -0.426 4.737
2.016 3.714 1.453
ATOMIC_POSITIONS crystal
Au 0.000 0.500 0.000
Cr 0.000 0.000 0.000
F 0.000 0.000 0.500
F 0.500 0.000 0.000
Ba 0.500 0.500 0.500
! raw total energy	-4.96	eV per atom
! symmetry	P4/mmm, No. 123
! theoretical density	6.49	Mg/m³